PtRh4, optimized geometry, DFT GGA-PBE; energy above the most stable polymorph in this dataset = 0.002 eV/atom; space-group type = No. 87; final energy = -35.51 eV/cell; ΔH_f (0 K) = -0.066 eV/f.u.
1.0
3.873 0.000 0.000
-1.936 4.320 0.000
1.936 0.000 4.320
Pt Rh
1 4
Direct
0.000 0.000 0.000
0.199 0.797 0.400
0.401 0.600 0.797
0.599 0.400 0.203
0.801 0.203 0.600